*a*
RbHgGe after structural relaxation. Source: Alexandria, functional PBE.

```
RbHgGe
1.0
6.6091 -2.1011 0.0000
6.6091 2.1011 0.0000
-4.9585 0.0000 7.1027
Rb Hg Ge
2 2 2
Cartesian
0.0000 0.0000 0.0000
-1.5910 0.0000 5.0824
4.5833 0.0000 2.2927
9.4083 0.0000 0.9834
2.0895 0.0000 3.8215
7.4354 0.0000 2.9844
```

Output
As for the space group: No. 8.

---

*b*
RbHgGe after structural relaxation. Source: Alexandria, functional PBE.

```
RbHgGe
1.0
4.0465 0.0000 0.0000
-0.0050 6.6525 0.0000
-2.0190 -0.8468 7.7627
Rb Hg Ge
2 2 2
Cartesian
0.0000 0.0000 0.0000
0.0067 4.4719 3.6642
2.0253 3.4827 0.7174
2.0285 0.9887 2.9480
0.0099 1.1728 5.3220
2.0334 2.4529 6.1091
```

Output
As for the space group: No. 1.

---

*c*
RbHgGe after structural relaxation. Source: Alexandria, functional PBE.

```
RbHgGe
1.0
4.6462 0.0000 0.0000
-2.3231 4.0238 0.0000
0.0000 0.0000 5.6606
Rb Hg Ge
1 1 1
Cartesian
0.0000 0.0000 0.0000
0.0000 2.6825 2.8309
2.3231 1.3413 2.8256
```

Output
As for the space group: No. 156.

---

*d*
RbHgGe after structural relaxation. Source: Alexandria, functional PBE.

```
RbHgGe
1.0
-2.5331 4.2144 4.2743
2.5331 -4.2144 4.2743
2.5331 4.2144 -4.2743
Rb Hg Ge
2 2 2
Cartesian
0.0000 0.0000 0.0000
0.0000 4.2144 1.0997
2.5331 -1.6784 1.9009
2.5331 1.6784 1.9009
2.5331 2.8972 -0.9497
0.0000 1.3172 3.3246
```

Output
As for the space group: No. 44.

---

Of them, *c* has the lowest stability.

---

*a*
RbHgGe after structural relaxation. Source: Alexandria, functional PBE.

```
RbHgGe
1.0
7.3353 -2.0636 0.0000
7.3353 2.0636 0.0000
-4.9240 0.0000 6.9494
Rb Hg Ge
2 2 2
Cartesian
0.0000 0.0000 0.0000
-1.1574 0.0000 4.4229
4.7877 0.0000 1.7665
10.3011 0.0000 0.4684
2.8661 0.0000 3.8129
8.9676 0.0000 2.9343
```

Output
As for the space group: No. 8.

---

*b*
RbHgGe after structural relaxation. Source: Alexandria, functional PBE.

```
RbHgGe
1.0
5.6214 0.0000 0.0000
0.0000 4.7446 0.0000
-0.2863 0.0000 8.0529
Rb Hg Ge
2 2 2
Cartesian
0.0000 0.0000 0.0000
-0.1432 2.3723 4.0265
2.5772 0.0000 5.5197
2.7579 0.0000 2.5333
2.2435 2.3723 6.8810
3.0916 2.3723 1.1720
```

Output
As for the space group: No. 10.

---

*c*
RbHgGe after structural relaxation. Source: Alexandria, functional PBE.

```
RbHgGe
1.0
5.6243 0.0000 0.0000
-0.6441 6.3444 0.0000
-2.7943 -2.1139 5.9406
Rb Hg Ge
2 2 2
Cartesian
-0.0977 1.9183 1.3843
2.2835 2.3122 4.5563
2.8121 0.0000 0.0000
1.4150 -1.0570 2.9703
-0.9088 -0.4147 4.0552
3.0946 4.6453 1.8854
```

Output
As for the space group: No. 2.

---

Of them, *c* has the lowest stability.

---

*a*
RbHgGe after structural relaxation. Source: Alexandria, functional PBE.

```
RbHgGe
1.0
4.3061 -3.6959 0.0000
4.3061 3.6959 0.0000
-3.9393 0.0000 7.1912
Rb Hg Ge
2 2 2
Cartesian
0.0518 0.0000 2.4043
4.6210 0.0000 4.7870
2.1530 1.8480 0.0000
2.1530 -1.8480 0.0000
-0.2882 0.0000 6.0192
4.9610 0.0000 1.1720
```

Output
As for the space group: No. 12.

---

*b*
RbHgGe after structural relaxation. Source: Alexandria, functional PBE.

```
RbHgGe
1.0
5.8566 0.0000 0.0000
-0.1470 6.5889 0.0000
-1.9498 -3.2378 5.5709
Rb Hg Ge
2 2 2
Cartesian
0.0000 0.0000 0.0000
0.1641 0.0030 4.3941
2.8310 1.2121 2.4141
4.9286 3.3295 1.5037
1.4413 3.4949 2.9235
2.9072 5.1511 1.8625
```

Output
As for the space group: No. 1.

---

Of them, *b* has the lowest stability.

---

*a*
Rb3HgGe after structural relaxation. Source: Alexandria, functional PBE.

```
Rb3HgGe
1.0
10.6167 -2.1277 0.0000
10.6167 2.1277 0.0000
-0.9297 0.0000 10.7789
Rb Hg Ge
6 2 2
Cartesian
0.9079 0.0000 1.9696
4.6145 0.0000 8.6916
7.9881 0.0000 4.7365
12.3157 0.0000 6.0424
15.6893 0.0000 2.0873
19.3959 0.0000 8.8094
8.3213 0.0000 0.8860
11.9825 0.0000 9.8929
4.3198 0.0000 4.8995
15.9840 0.0000 5.8794
```

Output
As for the space group: No. 12.

---

*b*
Rb3HgGe after structural relaxation. Source: Alexandria, functional PBE.

```
Rb3HgGe
1.0
6.8973 0.0000 0.0000
0.0000 6.8973 0.0000
0.0000 0.0000 6.8973
Rb Hg Ge
3 1 1
Cartesian
0.0000 0.0000 3.4486
0.0000 3.4486 0.0000
3.4486 0.0000 0.0000
3.4486 3.4486 3.4486
0.0000 0.0000 0.0000
```

Output
As for the space group: No. 221.

---

Of them, *b* has the lowest stability.

---

*a*
Hg3GeRh after structural relaxation. Source: Alexandria, functional PBE.

```
Hg3GeRh
1.0
5.1101 0.0000 0.0000
0.0000 5.1101 0.0000
0.0000 0.0000 5.1101
Hg Ge Rh
3 1 1
Cartesian
0.0000 0.0000 2.5551
0.0000 2.5551 0.0000
2.5551 0.0000 0.0000
0.0000 0.0000 0.0000
2.5551 2.5551 2.5551
```

Output
As for the space group: No. 221.

---

*b*
Hg3GeRh after structural relaxation. Source: Alexandria, functional PBE.

```
Hg3GeRh
1.0
5.1777 0.0000 0.0000
0.0000 5.1777 0.0000
0.0000 0.0000 5.1777
Hg Ge Rh
3 1 1
Cartesian
0.0000 0.0000 2.5888
0.0000 2.5888 0.0000
2.5888 0.0000 0.0000
2.5888 2.5888 2.5888
0.0000 0.0000 0.0000
```

Output
As for the space group: No. 221.

---

Of them, *a* has the lowest stability.

---

*a*
HgGeRu3 after structural relaxation. Source: Alexandria, functional PBE.

```
HgGeRu3
1.0
4.9929 0.0000 0.0000
0.0000 4.9929 0.0000
0.0000 0.0000 4.9929
Hg Ge Ru
1 1 3
Cartesian
0.0000 0.0000 0.0000
2.4964 2.4964 2.4964
0.0000 0.0000 2.4964
0.0000 2.4964 0.0000
2.4964 0.0000 0.0000
```

Output
As for the space group: No. 221.

---

*b*
HgGeRu3 after structural relaxation. Source: Alexandria, functional PBE.

```
HgGeRu3
1.0
4.5677 0.0000 0.0000
0.0000 4.5677 0.0000
0.0000 0.0000 4.5677
Hg Ge Ru
1 1 3
Cartesian
0.0000 0.0000 0.0000
2.2839 2.2839 2.2839
0.0000 2.2839 2.2839
2.2839 0.0000 2.2839
2.2839 2.2839 0.0000
```

Output
As for the space group: No. 221.

---

Of them, *a* has the lowest stability.

---

*a*
HgGeRu after structural relaxation. Source: Alexandria, functional PBE.

```
HgGeRu
1.0
2.9385 0.0000 0.0000
0.0000 4.0493 0.0000
0.0000 0.0000 4.9417
Hg Ge Ru
1 1 1
Cartesian
0.0000 0.0000 0.0000
0.0000 2.0246 2.4709
1.4693 0.0000 2.4709
```

Output
As for the space group: No. 47.

---

*b*
HgGeRu after structural relaxation. Source: Alexandria, functional PBE.

```
HgGeRu
1.0
3.4518 0.0000 0.0000
0.0000 3.4518 0.0000
0.0000 0.0000 9.8737
Hg Ge Ru
2 2 2
Cartesian
0.8630 0.8630 1.0287
2.5889 2.5889 8.8449
0.8630 0.8630 6.4186
2.5889 2.5889 3.4550
0.8630 0.8630 3.8794
2.5889 2.5889 5.9943
```

Output
As for the space group: No. 129.

---

Of them, *b* has the lowest stability.

---

*a*
HgGeRu2 after structural relaxation. Source: Alexandria, functional PBE.

```
HgGeRu2
1.0
-2.0438 2.0438 9.1007
2.0438 -2.0438 9.1007
2.0438 2.0438 -9.1007
Hg Ge Ru
2 2 4
Cartesian
0.0000 0.0000 0.0000
0.0000 2.0438 4.5504
2.0438 0.0000 4.5504
0.0000 0.0000 9.1007
1.0219 -0.6561 6.8255
1.3877 1.0219 2.2752
1.0219 2.6999 -2.2752
0.6561 1.0219 11.3759
```

Output
As for the space group: No. 122.

---

*b*
HgGeRu2 after structural relaxation. Source: Alexandria, functional PBE.

```
HgGeRu2
1.0
0.0000 3.1572 3.1572
3.1572 0.0000 3.1572
3.1572 3.1572 0.0000
Hg Ge Ru
1 1 2
Cartesian
0.0000 0.0000 0.0000
3.1572 3.1572 3.1572
1.5786 1.5786 1.5786
4.7358 4.7358 4.7358
```

Output
As for the space group: No. 225.

---

Of them, *a* has the lowest stability.

---

*a*
HgGeRu2W after structural relaxation. Source: Alexandria, functional PBE.

```
HgGeRu2W
1.0
4.7876 0.0000 0.0000
0.0000 4.7876 0.0000
0.0000 0.0000 4.9062
Hg Ge Ru W
1 1 2 1
Cartesian
0.0000 0.0000 0.0000
2.3938 2.3938 0.0000
0.0000 2.3938 2.4531
2.3938 0.0000 2.4531
2.3938 2.3938 2.4531
```

Output
As for the space group: No. 123.

---

*b*
HgGeRu2W after structural relaxation. Source: Alexandria, functional PBE.

```
HgGeRu2W
1.0
4.9310 0.0000 0.0000
0.0000 4.9310 0.0000
0.0000 0.0000 4.6381
Hg Ge Ru W
1 1 2 1
Cartesian
0.0000 0.0000 0.0000
0.0000 0.0000 2.3190
0.0000 2.4655 0.0000
2.4655 0.0000 0.0000
2.4655 2.4655 2.3190
```

Output
As for the space group: No. 123.

---

Of them, *b* has the lowest stability.

---

*a*
HgGeS3 after structural relaxation. Source: Alexandria, functional PBE.

```
HgGeS3
1.0
6.5074 -1.8494 0.0000
6.5074 1.8494 0.0000
-0.8529 0.0000 10.6750
Hg Ge S
2 2 6
Cartesian
1.7615 0.0000 3.8907
10.4003 0.0000 6.7842
5.1101 0.0000 2.4676
7.0517 0.0000 8.2073
1.2898 0.0000 9.3741
4.2235 0.0000 4.5294
4.8218 0.0000 8.3297
7.3400 0.0000 2.3452
7.9383 0.0000 6.1456
10.8719 0.0000 1.3008
```

Output
As for the space group: No. 12.

---

*b*
HgGeS3 after structural relaxation. Source: Alexandria, functional PBE.

```
HgGeS3
1.0
4.7526 0.0000 0.0000
0.0000 4.7526 0.0000
0.0000 0.0000 4.7526
Hg Ge S
1 1 3
Cartesian
0.0000 0.0000 0.0000
2.3763 2.3763 2.3763
0.0000 2.3763 2.3763
2.3763 0.0000 2.3763
2.3763 2.3763 0.0000
```

Output
As for the space group: No. 221.

---

Of them, *b* has the lowest stability.

---

*a*
Hg3GeS after structural relaxation. Source: Alexandria, functional PBE.

```
Hg3GeS
1.0
5.2170 0.0000 0.0000
0.0000 5.2170 0.0000
0.0000 0.0000 5.2170
Hg Ge S
3 1 1
Cartesian
0.0000 0.0000 2.6085
0.0000 2.6085 0.0000
2.6085 0.0000 0.0000
0.0000 0.0000 0.0000
2.6085 2.6085 2.6085
```

Output
As for the space group: No. 221.

---

*b*
Hg3GeS after structural relaxation. Source: Alexandria, functional PBE.

```
Hg3GeS
1.0
5.2361 0.0000 0.0000
0.0000 5.2361 0.0000
0.0000 0.0000 5.2361
Hg Ge S
3 1 1
Cartesian
0.0000 0.0000 2.6181
0.0000 2.6181 0.0000
2.6181 0.0000 0.0000
2.6181 2.6181 2.6181
0.0000 0.0000 0.0000
```

Output
As for the space group: No. 221.

---

Of them, *b* has the lowest stability.

---

*a*
HgGeS after structural relaxation. Source: Alexandria, functional PBE.

```
HgGeS
1.0
3.5100 0.0000 0.0000
-1.7550 3.0398 0.0000
0.0000 0.0000 7.7949
Hg Ge S
1 1 1
Cartesian
0.0000 0.0000 0.0000
1.7550 1.0133 2.9633
0.0000 2.0265 4.3176
```

Output
As for the space group: No. 156.

---

*b*
HgGeS after structural relaxation. Source: Alexandria, functional PBE.

```
HgGeS
1.0
4.0897 0.0000 0.0000
0.0139 5.3148 0.0000
2.0412 0.3775 7.3582
Hg Ge S
2 2 2
Cartesian
1.0256 0.8875 1.6922
5.1192 4.8048 5.6660
3.0725 3.2089 4.9046
3.0723 2.4834 2.4536
3.0657 1.3283 6.1163
3.0790 4.3640 1.2419
```

Output
As for the space group: No. 2.

---

Of them, *b* has the lowest stability.